Entry 1:
A plane-wave DFT calculation with PBE-GGA was carried out for crystalline EuScPb2 at its relaxed geometry.

a b c (Å): 5.0679 5.0679 15.7631
angles (deg): 90.00 90.00 120.00
Atoms (fractional coordinates):
Eu  0.0000  0.0000  0.0000
Eu  0.3333  0.6667  0.6667
Eu  0.6667  0.3333  0.3333
Sc  0.0000  0.0000  0.5000
Sc  0.3333  0.6667  0.1667
Sc  0.6667  0.3333  0.8333
Pb  0.0000  0.0000  0.2409
Pb  0.0000  0.0000  0.7591
Pb  0.3333  0.6667  0.4258
Pb  0.3333  0.6667  0.9075
Pb  0.6667  0.3333  0.0925
Pb  0.6667  0.3333  0.5742

Calculated values
formation energy = -8.4 kcal/mol of atoms

---

Entry 2:
A plane-wave DFT calculation with PBE-GGA was carried out for crystalline EuScTlPb at its relaxed geometry.

a b c (Å): 7.6148 7.6148 7.6148
angles (deg): 90.00 90.00 90.00
Atoms (fractional coordinates):
Eu  0.0000  0.0000  0.0000
Eu  0.0000  0.5000  0.5000
Eu  0.5000  0.0000  0.5000
Eu  0.5000  0.5000  0.0000
Sc  0.0000  0.0000  0.5000
Sc  0.0000  0.5000  0.0000
Sc  0.5000  0.0000  0.0000
Sc  0.5000  0.5000  0.5000
Tl  0.2500  0.2500  0.2500
Tl  0.2500  0.7500  0.7500
Tl  0.7500  0.2500  0.7500
Tl  0.7500  0.7500  0.2500
Pb  0.2500  0.2500  0.7500
Pb  0.2500  0.7500  0.2500
Pb  0.7500  0.2500  0.2500
Pb  0.7500  0.7500  0.7500

Calculated values
formation energy = -7.7 kcal/mol of atoms

---

Entry 3:
A plane-wave DFT calculation with PBE-GGA was carried out for crystalline EuScZnPb at its relaxed geometry.

a b c (Å): 7.3942 7.3942 7.3942
angles (deg): 90.00 90.00 90.00
Atoms (fractional coordinates):
Eu  0.0000  0.0000  0.0000
Eu  0.0000  0.5000  0.5000
Eu  0.5000  0.0000  0.5000
Eu  0.5000  0.5000  0.0000
Sc  0.0000  0.0000  0.5000
Sc  0.0000  0.5000  0.0000
Sc  0.5000  0.0000  0.0000
Sc  0.5000  0.5000  0.5000
Zn  0.2500  0.2500  0.7500
Zn  0.2500  0.7500  0.2500
Zn  0.7500  0.2500  0.2500
Zn  0.7500  0.7500  0.7500
Pb  0.2500  0.2500  0.2500
Pb  0.2500  0.7500  0.7500
Pb  0.7500  0.2500  0.7500
Pb  0.7500  0.7500  0.2500

Calculated values
formation energy = -7.3 kcal/mol of atoms

---

Entry 4:
A plane-wave DFT calculation with PBE-GGA was carried out for crystalline Eu3PbSe at its relaxed geometry.

a b c (Å): 5.6882 5.6882 5.6882
angles (deg): 90.00 90.00 90.00
Atoms (fractional coordinates):
Eu  0.0000  0.0000  0.5000
Eu  0.0000  0.5000  0.0000
Eu  0.5000  0.0000  0.0000
Pb  0.5000  0.5000  0.5000
Se  0.0000  0.0000  0.0000

Calculated values
formation energy without anion corrections = -0.8846 eV per atom

---

Total moment (computed, μB per formula unit): 7.081; 7.290; 7.611; 21.136